# Ac6Hg3Rh2S

Ac6Hg3Rh2S after structural relaxation (PBE, Alexandria).

## Properties
For the energy relative to the elements, uncorrected, the calculation gives -9.293 eV per formula unit. The calculation puts the density of states at the Fermi level at 10.933 states/eV/cell. The space-group type is C2/m (12).

Cell lengths 7.5738, 7.5738, 8.4527 Å; angles 98.51, 98.51, 119.94 degrees
Atoms (fractional coordinates):
1 Ac 0.0837 0.4292 0.7876
2 Ac 0.2228 0.2228 0.2025
3 Ac 0.4292 0.0837 0.7876
4 Ac 0.5708 0.9163 0.2124
5 Ac 0.7772 0.7772 0.7975
6 Ac 0.9163 0.5708 0.2124
7 Hg 0.0000 0.0000 0.5000
8 Hg 0.3459 0.6541 0.5000
9 Hg 0.6541 0.3459 0.5000
10 Rh 0.1679 0.8321 0.0000
11 Rh 0.8321 0.1679 0.0000
12 S 0.5000 0.5000 0.0000